No. 1
## SrDyHo (GGA-PBE)

Data for an optimized crystal structure of SrDyHo.

Properties
DFT formation energy = 0.4 eV per formula unit
space-group type = No. 107
VASP energy = -3.481 eV/atom

a b c (Å): 3.715 3.715 8.436
angles (deg): 102.72 102.72 90.00
Sites, in units of the cell vectors:
Dy  0.319  0.319  0.638
Sr  0.000  0.000  0.000
Ho  0.681  0.681  0.361

No. 2
## YMgB (GGA-PBE)

Data for an optimized crystal structure of YMgB.

Properties
DFT formation energy = -0.2 eV per formula unit
space-group type = No. 12
VASP energy = -4.976 eV/atom

a b c (Å): 5.385 3.679 6.476
angles (deg): 106.54 98.08 69.97
Sites, in units of the cell vectors:
Mg  0.851  0.557  0.446
Mg  0.301  0.958  0.697
Y  0.385  0.185  0.235
B  0.196  0.655  0.984
Y  0.767  0.330  0.909
B  0.957  0.861  0.159

No. 3
## YSc3Al8 (GGA-PBE)

Data for an optimized crystal structure of YSc3Al8.

Properties
DFT formation energy = -5.9 eV per formula unit
space-group type = No. 160
VASP energy = -5.108 eV/atom

a b c (Å): 5.408 5.408 9.407
angles (deg): 73.30 73.30 60.00
Sites, in units of the cell vectors:
Al  0.688  0.688  0.937
Sc  0.498  0.498  0.506
Al  0.435  0.937  0.691
Al  0.438  0.940  0.183
Al  0.438  0.438  0.183
Sc  0.376  0.376  0.873
Al  0.187  0.187  0.438
Al  0.937  0.937  0.691
Sc  0.001  0.001  0.998
Y  0.875  0.875  0.375
Al  0.937  0.435  0.691
Al  0.940  0.438  0.183